# AcSmInAu

A geometry-optimized AcSmInAu structure (PBE, Alexandria).

The structure belongs to space group F-43m (No. 216); the cell edges are 7.8088, 7.8088 and 7.8088 Å and the angles 90.00°, 90.00° and 90.00°. The distinct sites, in fractional coordinates, are Ac at (0.0000, 0.0000, 0.0000), Sm at (0.0000, 0.0000, 0.5000), In at (0.2500, 0.2500, 0.7500) and Au at (0.2500, 0.2500, 0.2500).

The total energy comes out at -4.240 eV/atom. Its theoretical density is 9.6 g/cm³. As for the energy of formation: -2.1 eV/f.u.